## SrAl2Ag (PBE)

Data for a geometry-optimized SrAl2Ag structure.

Lattice parameters (Å, degrees): 5.0334 5.0334 9.7355 75.02 75.02 90.00
Last column: nearest neighbours and their distance in Å.
Element x y z (fractional)
Al: 0.8754 0.6250 0.2500  2 Al 2.52, 2 Ag 2.59
Al: 0.3750 0.1254 0.7500  2 Al 2.52, 2 Ag 2.59
Al: 0.8750 0.1246 0.7500  2 Al 2.52, 2 Ag 2.59
Al: 0.8746 0.1250 0.2500  2 Al 2.52, 2 Ag 2.59
Ag: 0.7500 0.2500 0.5000  4 Al 2.59
Ag: 0.0000 0.0000 0.0000  4 Al 2.59
Sr: 0.2500 0.7500 0.5000  4 Ag 3.56, 8 Al 3.61
Sr: 0.5000 0.5000 0.0000  4 Ag 3.56, 8 Al 3.61

## Properties
The value obtained for the energy of formation from the pure elements is -12 meV/atom.

=====

## CsGe2Te4 (PBE)

Data for a geometry-optimized CsGe2Te4 structure.

Lattice parameters (Å, degrees): 8.5678 8.4331 10.6191 129.60 107.86 78.58
Last column: nearest neighbours and their distance in Å.
Element x y z (fractional)
Cs: 0.2276 0.7929 0.5175  7 Te 3.83-4.21, 1 Ge 4.12
Cs: 0.9944 0.1003 0.0530  7 Te 3.87-4.23, 1 Ge 4.31
Te: 0.4110 0.7768 0.9158  3 Ge 2.75-3.02
Te: 0.5679 0.1970 0.8230  2 Ge 2.90-3.13, 2 Te 3.06
Te: 0.8748 0.0615 0.3651  2 Ge 2.85-3.18, 1 Te 2.89
Te: 0.8296 0.6228 0.1035  1 Ge 2.79, 1 Te 2.89
Te: 0.3544 0.4597 0.0776  2 Ge 2.75-2.92, 1 Te 3.06
Te: 0.7988 0.5956 0.6117  2 Ge 2.81-2.96, 1 Te 2.88
Te: 0.7666 0.8965 0.5579  2 Te 2.88-3.06, 1 Ge 3.07
Te: 0.3736 0.2683 0.4245  2 Ge 2.75-2.84
Ge: 0.6187 0.4681 0.7320  3 Te 2.75-2.96
Ge: 0.2746 0.4169 0.7862  3 Te 2.75-2.90
Ge: 0.6062 0.2797 0.3009  3 Te 2.75-2.85
Ge: 0.5518 0.8139 0.2314  4 Te 2.79-3.07

## Properties
The uncorrected formation energy is -248 meV/atom.

=====

## ReTe2Br (PBE)

Data for a geometry-optimized ReTe2Br structure.

Lattice parameters (Å, degrees): 6.8088 6.8088 6.5399 61.82 61.82 28.22
Last column: nearest neighbours and their distance in Å.
Element x y z (fractional)
Br: 0.5900 0.5900 0.4499  2 Re 2.67
Te: 0.7556 0.7556 0.8115  2 Re 2.64
Te: 0.9081 0.9081 0.1050  2 Re 2.64
Re: 0.2463 0.2463 0.1336  4 Te 2.64, 2 Br 2.67

## Properties
The uncorrected formation energy is 215 meV/atom.

=====

Number 1: E -24.133 eV/cell. Number 2: E -48.778 eV/cell. Number 3: E -19.546 eV/cell.